Entry 1:
This record from OQMD describes LaPaPO after structural relaxation. The functional is PBE.

The crystal system is orthorhombic. The raw total energy comes out at -7.5664 eV/atom.

a b c (Å): 4.212 7.961 6.079
angles (deg): 90.00 90.00 90.00
Space group Pmc2_1 (No. 26)
Symmetry-distinct sites (fractional):
1 La 0.000 0.199 0.000 [2 per cell]
2 Pa 0.500 0.390 0.527 [2 per cell]
3 P 0.000 0.163 0.505 [2 per cell]
4 O 0.500 0.332 0.912 [2 per cell]

---

Entry 2:
This record from OQMD describes LaPaPO after structural relaxation. The functional is PBE.

The crystal system is tetragonal. The raw total energy comes out at -7.5830 eV/atom.

a b c (Å): 4.268 4.268 9.606
angles (deg): 90.00 90.00 90.00
Space group P4/nmm (No. 129, origin choice 2)
Symmetry-distinct sites (fractional):
1 La 0.250 0.250 0.117 [2 per cell]
2 Pa 0.250 0.750 0.500 [2 per cell]
3 P 0.250 0.250 0.702 [2 per cell]
4 O 0.250 0.750 0.000 [2 per cell]

---

Entry 3:
This record from OQMD describes LaPaPO after structural relaxation. The functional is PBE.

The crystal system is tetragonal. The raw total energy comes out at -7.4840 eV/atom.

a b c (Å): 4.174 4.174 9.483
angles (deg): 90.00 90.00 90.00
Space group P4/nmm (No. 129, origin choice 2)
Symmetry-distinct sites (fractional):
1 La 0.250 0.750 0.000 [2 per cell]
2 Pa 0.250 0.250 0.370 [2 per cell]
3 P 0.250 0.250 0.769 [2 per cell]
4 O 0.250 0.750 0.500 [2 per cell]

---

Energy above the most stable polymorph in this dataset for the records above, in order: 17, 0, 99 meV/atom
V for the records above, in order: 25.48, 21.88, 20.65 Å³ per atom